A geometry-optimized Cs2BeSeCl structure, computed with GGA-PBE.

Cell lengths 6.666, 4.300, 6.666 Å; angles 90.00, 90.00, 90.00 degrees
Positions (direct):
1 Cs 0.000 0.000 0.500
2 Cs 0.500 0.000 0.000
3 Be 0.000 0.000 0.000
4 Se 0.000 0.500 0.000
5 Cl 0.500 0.500 0.500

calculated volume = 38.2 A^3/atom
SG = P4/mmm (123)
formation energy from raw total energies = -780 meV per atom
crystal system = tetragonal

A geometry-optimized Cs2BeSeCl6 structure, computed with GGA-PBE.

Cell lengths 7.502, 7.502, 7.553 Å; angles 60.22, 60.22, 90.00 degrees
Positions (direct):
1 Cs 0.750 0.250 0.500
2 Cs 0.250 0.750 0.500
3 Be 0.500 0.500 0.000
4 Se 0.000 0.000 0.000
5 Cl 0.219 0.219 0.561
6 Cl 0.781 0.781 0.439
7 Cl 0.296 0.296 0.000
8 Cl 0.704 0.704 0.000
9 Cl 0.704 0.296 0.000
10 Cl 0.296 0.704 0.000

calculated volume = 30.3 A^3/atom
SG = I4/mmm (139)
formation energy from raw total energies = -1112 meV per atom
crystal system = tetragonal

no.,spin magnetization (Bohr magnetons per cell),N(E_F) (states/eV/cell)
1,0.0,2.31
2,2.0,0.04